An optimized crystal structure of Ba2Zn4InPb3, computed with PBE.

```
10
Lattice="4.887 0.000 0.000 0.000 4.887 0.000 0.000 0.000 11.666" Properties=species:S:1:pos:R:3 pbc="T T T"
Ba 0.000 2.443 2.800
Ba 2.443 0.000 8.866
Zn 0.000 0.000 0.000
Zn 0.000 2.443 7.379
Zn 2.443 0.000 4.287
Zn 2.443 2.443 0.000
In 0.000 0.000 5.833
Pb 0.000 2.443 10.167
Pb 2.443 0.000 1.499
Pb 2.443 2.443 5.833
```

## Properties
D(E_F): 4.04 states/eV per cell
Space-group type: P-4m2, No. 115
Energy of formation from the pure elements: -2.86 eV per formula unit